# LaNb2Cr PBE optimized geometry
data_LaNb2Cr
_chemical_formula_sum 'La2 Nb4 Cr2'
_cell_length_a 9.5043
_cell_length_b 9.5043
_cell_length_c 9.5043
_cell_angle_alpha 149.81
_cell_angle_beta 149.81
_cell_angle_gamma 43.22
_space_group_name_H-M_alt 'P 1'
_space_group_IT_number 1
loop_
_space_group_symop_operation_xyz
'x,y,z'
loop_
_atom_site_label
_atom_site_fract_x
_atom_site_fract_y
_atom_site_fract_z
La1 0.3750 0.6250 0.7500
La2 0.6250 0.3750 0.2500
Nb1 0.0000 0.0000 0.0000
Nb2 0.0000 0.0000 0.5000
Nb3 0.0000 0.5000 0.0000
Nb4 0.5000 0.0000 0.5000
Cr1 0.1250 0.8750 0.2500
Cr2 0.8750 0.1250 0.7500
# Formation energy from the elements: 429 kJ/mol of formula units
# Calculated total energy: -7.56 eV/atom
# Energy above the lowest structure with this stoichiometry: 549 meV/atom
# Total magnetic moment: 2.4 μB per cell